# 1
# meta-GGA SCAN SiMoP2, PBEsol geometry
data_SiMoP2
_space_group_name_H-M_alt 'P 1'
_space_group_IT_number 1
_space_group_name_Hall 'P 1'
_cell_length_a 4.737
_cell_length_b 4.737
_cell_length_c 4.737
_cell_angle_alpha 134.04
_cell_angle_beta 134.04
_cell_angle_gamma 67.03
loop_
_atom_site_label
_atom_site_type_symbol
_atom_site_fract_x
_atom_site_fract_y
_atom_site_fract_z
_atom_site_occupancy
Si1 Si 0.000 0.000 0.000 1
Mo1 Mo 0.750 0.250 0.500 1
P1 P 0.250 0.750 0.500 1
P2 P 0.500 0.500 0.000 1
# N(E_F) = 2.1 states/eV/f.u.
# spin magnetization = 0.640 μB/f.u.
# VASP energy = -15.956 eV per atom
# ρ = 5.7 g/cm³
# space-group type = I-4m2, No. 119

# 2
# meta-GGA SCAN SiMo3P, PBEsol geometry
data_SiMo3P
_space_group_name_H-M_alt 'P 1'
_space_group_IT_number 1
_space_group_name_Hall 'P 1'
_cell_length_a 4.365
_cell_length_b 4.365
_cell_length_c 4.365
_cell_angle_alpha 90.00
_cell_angle_beta 90.00
_cell_angle_gamma 90.00
loop_
_atom_site_label
_atom_site_type_symbol
_atom_site_fract_x
_atom_site_fract_y
_atom_site_fract_z
_atom_site_occupancy
Si1 Si 0.000 0.000 0.000 1
Mo1 Mo 0.000 0.500 0.500 1
Mo2 Mo 0.500 0.000 0.500 1
Mo3 Mo 0.500 0.500 0.000 1
P1 P 0.500 0.500 0.500 1
# N(E_F) = 2.4 states/eV/f.u.
# spin magnetization = 0.000 μB/f.u.
# VASP energy = -24.315 eV per atom
# ρ = 6.9 g/cm³
# space-group type = Pm-3m, No. 221